A plane-wave DFT calculation with PBE was carried out for Mn2MoOs after structural relaxation.

Energy of formation, eV per atom: 0.113
E, Ry per atom: -0.73400
M_tot, μB/atom: 0.9327

```
Mn2MoOs
1.0
-0.7973 -3.9724 1.3101
3.2223 -2.6747 0.7710
0.9061 -1.1449 4.0000
Mn Mo Os
2 1 1
direct
0.0000 0.0000 0.0000 Mn
0.2500 0.2500 0.2500 Mn
0.5000 0.5000 0.5000 Mo
0.7500 0.7500 0.7500 Os
```